(1)
3
Lattice="3.293 0.000 0.000 0.000 3.293 0.000 -1.647 -1.647 3.002" Properties=species:S:1:pos:R:3 comment="CrNiN | Alexandria | GGA-PBE | optimized geometry" polymorph_energy_mev_per_atom=681.6 raw_formation_energy_ev_per_fu=2.10 crystal_system=tetragonal dft_energy_ev_per_atom=-7.21 pbc="T T T"
Ni 1.647 1.647 2.868
Cr 1.647 1.647 0.525
N 0.000 0.000 1.711

(2)
8
Lattice="-2.507 6.467 -10.012 4.598 -8.915 -6.909 -1.306 -2.336 -8.590" Properties=species:S:1:pos:R:3 comment="K2YS | Alexandria | GGA-PBE | optimized geometry" raw_formation_energy_ev_per_fu=-1.87 crystal_system=tetragonal dft_energy_ev_per_atom=-3.66 pbc="T T T"
K 0.195 -2.625 -20.265
K -0.962 1.422 -7.843
K 0.459 -3.940 -13.772
K 1.877 -4.427 -9.143
Y -1.384 1.453 -13.532
Y 0.000 0.000 0.000
S 2.169 -6.238 -11.980
S 1.045 -1.224 -8.461